No. 1
Entry from Alexandria via LeMat-Bulk: a relaxed structure of La6Ge2AsSe3 (PBE).

- DFT total energy: -73.04 eV per cell
- Raw formation energy: -1.5946 eV per atom
- Density: 6013 kg/m3
- Symmetry: No. 12

Cell lengths 9.785, 9.785, 8.753 Å; angles 102.79, 102.79, 25.89 degrees
Element x y z (fractional)
La 0.003 0.003 0.246
La 0.331 0.331 0.422
La 0.335 0.335 0.911
La 0.665 0.665 0.089
La 0.669 0.669 0.578
La 0.997 0.997 0.754
Ge 0.166 0.166 0.332
Ge 0.834 0.834 0.668
As 0.500 0.500 0.000
Se 0.166 0.166 0.834
Se 0.500 0.500 0.500
Se 0.834 0.834 0.166

No. 2
Entry from Alexandria via LeMat-Bulk: a relaxed structure of SmDy3Pu2Se6 (PBE).

- DFT total energy: -88.66 eV per cell
- Raw formation energy: -1.7136 eV per atom
- Density: 8997 kg/m3
- Symmetry: No. 12

Cell lengths 7.103, 7.103, 7.163 Å; angles 99.51, 99.51, 120.06 degrees
Element x y z (fractional)
Sm 0.000 0.000 0.000
Dy 0.166 0.834 0.500
Dy 0.500 0.500 0.500
Dy 0.834 0.166 0.500
Pu 0.333 0.667 0.000
Pu 0.667 0.333 0.000
Se 0.086 0.421 0.256
Se 0.250 0.250 0.744
Se 0.421 0.086 0.256
Se 0.579 0.914 0.744
Se 0.750 0.750 0.256
Se 0.914 0.579 0.744

No. 3
Entry from Alexandria via LeMat-Bulk: a relaxed structure of Cd2CuNi2 (PBE).

- DFT total energy: -32.15 eV per cell
- E above lowest polymorph: 96 kJ/mol of formula units
- Formation energy from the elements: 0.283 eV/atom
- Density: 8441 kg/m3
- Symmetry: No. 127

Cell lengths 7.476, 7.476, 2.856 Å; angles 90.00, 90.00, 90.00 degrees
Element x y z (fractional)
Cd 0.174 0.326 0.000
Cd 0.326 0.826 0.000
Cd 0.674 0.174 0.000
Cd 0.826 0.674 0.000
Cu 0.000 0.000 0.000
Cu 0.500 0.500 0.000
Ni 0.121 0.621 0.500
Ni 0.379 0.121 0.500
Ni 0.621 0.879 0.500
Ni 0.879 0.379 0.500

No. 4
Entry from Alexandria via LeMat-Bulk: a relaxed structure of Sr2SbH2 (PBE).

- DFT total energy: -32.51 eV per cell
- E above lowest polymorph: 151 kJ/mol of formula units
- Density: 4624 kg/m3
- Symmetry: No. 127

Cell lengths 7.934, 7.934, 3.411 Å; angles 90.00, 90.00, 90.00 degrees
Element x y z (fractional)
Sr 0.158 0.342 0.000
Sr 0.342 0.842 0.000
Sr 0.658 0.158 0.000
Sr 0.842 0.658 0.000
Sb 0.000 0.000 0.500
Sb 0.500 0.500 0.500
H 0.099 0.599 0.500
H 0.401 0.099 0.500
H 0.599 0.901 0.500
H 0.901 0.401 0.500

No. 5
Entry from Alexandria via LeMat-Bulk: a relaxed structure of HfZrMn (PBE).

- DFT total energy: -105.74 eV per cell
- E above lowest polymorph: 124 kJ/mol of formula units
- Formation energy from the elements: 0.412 eV/atom
- Density: 8467 kg/m3
- Symmetry: No. 92

Cell lengths 5.585, 5.585, 8.165 Å; angles 90.00, 90.00, 90.00 degrees
Element x y z (fractional)
Hf 0.193 0.193 0.000
Hf 0.307 0.693 0.250
Hf 0.693 0.307 0.750
Hf 0.807 0.807 0.500
Zr 0.191 0.191 0.500
Zr 0.309 0.691 0.750
Zr 0.691 0.309 0.250
Zr 0.809 0.809 0.000
Mn 0.001 0.999 0.750
Mn 0.499 0.499 0.500
Mn 0.501 0.501 0.000
Mn 0.999 0.001 0.250

No. 6
Entry from Alexandria via LeMat-Bulk: a relaxed structure of Pr2YTm (PBE).

- DFT total energy: -20.41 eV per cell
- E above lowest polymorph: 1 kJ/mol of formula units
- Formation energy from the elements: 0.020 eV/atom
- Density: 6678 kg/m3
- Symmetry: No. 123

Cell lengths 5.164, 5.164, 5.033 Å; angles 90.00, 90.00, 90.00 degrees
Element x y z (fractional)
Pr 0.000 0.500 0.000
Pr 0.500 0.000 0.000
Y 0.000 0.000 0.500
Tm 0.500 0.500 0.500

No. 7
Entry from Alexandria via LeMat-Bulk: a relaxed structure of BeMo4P (PBE).

- DFT total energy: -47.79 eV per cell
- Formation energy from the elements: 0.779 eV/atom
- Density: 7258 kg/m3
- Symmetry: No. 216

Cell lengths 5.156, 5.156, 5.156 Å; angles 60.00, 60.00, 60.00 degrees
Element x y z (fractional)
Be 0.000 0.000 0.000
Mo 0.123 0.626 0.626
Mo 0.626 0.123 0.626
Mo 0.626 0.626 0.123
Mo 0.626 0.626 0.626
P 0.250 0.250 0.250

No. 8
Entry from Alexandria via LeMat-Bulk: a relaxed structure of La2BeF (PBE).

- DFT total energy: -74.09 eV per cell
- E above lowest polymorph: 47 kJ/mol of formula units
- Raw formation energy: -0.7678 eV per atom
- Density: 5883 kg/m3
- Symmetry: No. 225

Cell lengths 7.015, 7.015, 7.015 Å; angles 90.00, 90.00, 90.00 degrees
Element x y z (fractional)
La 0.250 0.250 0.250
La 0.250 0.250 0.750
La 0.250 0.750 0.250
La 0.250 0.750 0.750
La 0.750 0.250 0.250
La 0.750 0.250 0.750
La 0.750 0.750 0.250
La 0.750 0.750 0.750
Be 0.000 0.000 0.000
Be 0.000 0.500 0.500
Be 0.500 0.000 0.500
Be 0.500 0.500 0.000
F 0.000 0.000 0.500
F 0.000 0.500 0.000
F 0.500 0.000 0.000
F 0.500 0.500 0.500

No. 9
Entry from Alexandria via LeMat-Bulk: a relaxed structure of La4MoP (PBE).

- DFT total energy: -31.21 eV per cell
- Formation energy from the elements: 0.791 eV/atom
- Density: 6710 kg/m3
- Symmetry: No. 216

Cell lengths 6.205, 6.205, 6.205 Å; angles 60.00, 60.00, 60.00 degrees
Element x y z (fractional)
La 0.124 0.124 0.124
La 0.124 0.124 0.627
La 0.124 0.627 0.124
La 0.627 0.124 0.124
Mo 0.750 0.750 0.750
P 0.500 0.500 0.500

No. 10
Entry from Alexandria via LeMat-Bulk: a relaxed structure of AcZn2NiAu (PBE).

- DFT total energy: -35.29 eV per cell
- Formation energy from the elements: -0.386 eV/atom
- Density: 10013 kg/m3
- Symmetry: No. 44

Cell lengths 4.297, 4.344, 10.901 Å; angles 90.00, 90.00, 90.00 degrees
Element x y z (fractional)
Ac 0.000 0.000 0.000
Ac 0.500 0.500 0.500
Zn 0.000 0.000 0.380
Zn 0.000 0.500 0.235
Zn 0.500 0.000 0.735
Zn 0.500 0.500 0.880
Ni 0.000 0.000 0.602
Ni 0.500 0.500 0.102
Au 0.000 0.500 0.739
Au 0.500 0.000 0.239

No. 11
Entry from Alexandria via LeMat-Bulk: a relaxed structure of In3HgCl3 (PBE).

- DFT total energy: -37.38 eV per cell
- E above lowest polymorph: 0 kJ/mol of formula units
- Raw formation energy: -0.6620 eV per atom
- Density: 4673 kg/m3
- Symmetry: No. 11

Cell lengths 9.351, 4.218, 11.738 Å; angles 90.00, 90.96, 90.00 degrees
Element x y z (fractional)
In 0.049 0.250 0.167
In 0.328 0.750 0.259
In 0.329 0.250 0.665
In 0.671 0.750 0.335
In 0.672 0.250 0.741
In 0.951 0.750 0.833
Hg 0.473 0.750 0.894
Hg 0.527 0.250 0.106
Cl 0.134 0.250 0.909
Cl 0.139 0.750 0.633
Cl 0.348 0.250 0.420
Cl 0.652 0.750 0.580
Cl 0.861 0.250 0.367
Cl 0.866 0.750 0.091

No. 12
Entry from Alexandria via LeMat-Bulk: a relaxed structure of DyAlPbS4 (PBE).

- DFT total energy: -74.27 eV per cell
- Raw formation energy: -1.2245 eV per atom
- Density: 5231 kg/m3
- Symmetry: No. 11

Cell lengths 6.539, 6.665, 7.994 Å; angles 90.00, 106.91, 90.00 degrees
Element x y z (fractional)
Dy 0.220 0.250 0.055
Dy 0.780 0.750 0.945
Al 0.240 0.750 0.818
Al 0.760 0.250 0.182
Pb 0.255 0.250 0.568
Pb 0.745 0.750 0.432
S 0.004 0.004 0.773
S 0.004 0.496 0.773
S 0.444 0.750 0.639
S 0.450 0.750 0.094
S 0.550 0.250 0.906
S 0.556 0.250 0.361
S 0.996 0.504 0.227
S 0.996 0.996 0.227